VASP calculation (PBE) on a relaxed structure of LiDy2Ta.

Cell: 3.1430 3.1430 34.8670 Å, 90.00 90.00 120.00°
With the nearest neighbours (Å) after each atom.
Space group R-3m (No. 166, hexagonal axes)
One atom of each set of equivalent atoms:
Li  0.0000  0.0000  0.0000 [3 per cell]  6 Li 3.14, 6 Dy 3.39
Dy  0.0000  0.0000  0.4156 [6 per cell]  1 Ta 2.94, 6 Dy 3.14
Ta  0.0000  0.0000  0.5000 [3 per cell]  2 Dy 2.94, 6 Ta 3.14

Results
* energy of formation from the pure elements: 0.6040 eV/atom
* VASP energy: -61.664 eV for the cell shown


VASP calculation (PBE) on a relaxed structure of CsTbMgSe3.

Cell: 9.6820 4.3125 10.5113 Å, 90.00 110.99 90.00°
With the nearest neighbours (Å) after each atom.
Space group P2_1/m (No. 11)
One atom of each set of equivalent atoms:
Cs  0.2174  0.2500  0.2389 [2 per cell]  7 Se 3.66-3.97
Tb  0.3326  0.7500  0.8680 [2 per cell]  6 Se 2.82-3.14
Mg  0.0861  0.2500  0.6116 [2 per cell]  4 Se 2.53-2.65
Se  0.1261  0.2500  0.8633 [2 per cell]  1 Mg 2.53
Se  0.1969  0.7500  0.5487 [2 per cell]  3 Mg 2.60-2.65
Se  0.4769  0.7500  0.1534 [2 per cell]  3 Tb 2.82-2.90

Results
* formation energy (no corrections): -1576 meV per atom
* VASP energy: -53.971 eV for the cell shown


VASP calculation (PBE) on a relaxed structure of MnHgSe.

Cell: 6.5634 6.5634 6.5634 Å, 90.00 90.00 90.00°
With the nearest neighbours (Å) after each atom.
Space group F-43m (No. 216)
One atom of each set of equivalent atoms:
Mn  0.0000  0.0000  0.0000 [4 per cell]  4 Hg 2.84, 4 Se 2.84
Hg  0.2500  0.2500  0.2500 [4 per cell]  4 Mn 2.84
Se  0.2500  0.2500  0.7500 [4 per cell]  4 Mn 2.84

Results
* formation energy (no corrections): 59 meV per atom
* VASP energy: -51.120 eV for the cell shown


VASP calculation (PBE) on a relaxed structure of Tm6Bi2Ir.

Cell: 6.4306 7.8023 11.9183 Å, 90.00 120.16 90.00°
With the nearest neighbours (Å) after each atom.
Space group P2_1/c (No. 14)
One atom of each set of equivalent atoms:
Tm  0.1034  0.1888  0.4627 [4 per cell]  1 Ir 2.78
Tm  0.3207  0.6771  0.4587 [4 per cell]  1 Ir 2.71
Tm  0.3827  0.0209  0.2491 [4 per cell]  1 Ir 2.70
Bi  0.1459  0.1146  0.7460 [4 per cell]  8 Tm 3.13-3.50
Ir  0.5000  0.0000  0.5000 [2 per cell]  6 Tm 2.70-2.78

Results
* energy of formation from the pure elements: -0.5218 eV/atom
* VASP energy: -96.297 eV for the cell shown


VASP calculation (PBE) on a relaxed structure of YPaTe4.

Cell: 7.1728 4.3949 7.4678 Å, 90.00 90.53 90.00°
With the nearest neighbours (Å) after each atom.
Space group P2/m (No. 10)
One atom of each set of equivalent atoms:
Y  0.0000  0.0000  0.0000 [1 per cell]  6 Te 3.09-3.10
Pa  0.0000  0.5000  0.5000 [1 per cell]  6 Te 2.98-3.04
Te  0.2420  0.5000  0.1771 [2 per cell]  1 Pa 2.98, 2 Y 3.09
Te  0.2437  0.0000  0.6588 [2 per cell]  2 Pa 3.04, 1 Y 3.10

Results
* formation energy (no corrections): -1048 meV per atom
* VASP energy: -34.817 eV for the cell shown


VASP calculation (PBE) on a relaxed structure of LaZr2Cl.

Cell: 4.6947 4.6947 8.9397 Å, 90.00 90.00 90.00°
With the nearest neighbours (Å) after each atom.
Space group I-4m2 (No. 119)
One atom of each set of equivalent atoms:
La  0.0000  0.0000  0.0000 [2 per cell]  8 Zr 3.24-3.32, 4 Cl 3.24
Zr  0.0000  0.0000  0.5000 [2 per cell]  4 Zr 3.24, 4 Cl 3.24, 4 La 3.32
Zr  0.0000  0.5000  0.7500 [2 per cell]  4 Zr 3.24, 4 La 3.24, 4 Cl 3.32
Cl  0.0000  0.5000  0.2500 [2 per cell]  8 Zr 3.24-3.32, 4 La 3.24

Results
* formation energy (no corrections): 148 meV per atom
* VASP energy: -46.560 eV for the cell shown